No. 1
Computed, not measured: ReAu2Br after structural relaxation at the GGA-PBE level of DFT.

a = 4.011 Å, b = 4.011 Å, c = 9.512 Å
α = 90.00°, β = 90.00°, γ = 90.00°
Space group I4/mmm (No. 139)
Unique sites:
Re1 0.000 0.000 0.000 (multiplicity 2)
Au1 0.000 0.500 0.250 (multiplicity 4)
Br1 0.000 0.000 0.500 (multiplicity 2)

Values from the calculation:
Polymorph energy (0 for the lowest one) ... 15.83 kcal/mol of atoms
Electronic total energy ... -3.98 eV per atom
Raw formation energy ... 115.1 kJ per mole of atoms
Magnetic moment ... 0.770 μB per atom



No. 2
Computed, not measured: V2Si2Hg after structural relaxation at the GGA-PBE level of DFT.

a = 7.346 Å, b = 7.346 Å, c = 2.838 Å
α = 90.00°, β = 90.00°, γ = 90.00°
Space group P4/mbm (No. 127)
Unique sites:
V1 0.120 0.380 0.000 (multiplicity 4)
Si1 0.172 0.672 0.500 (multiplicity 4)
Hg1 0.000 0.000 0.000 (multiplicity 2)

Values from the calculation:
Polymorph energy (0 for the lowest one) ... 0.00 kcal/mol of atoms
Electronic total energy ... -5.86 eV per atom
Raw formation energy ... 1.9 kJ per mole of atoms
Magnetic moment ... 0.000 μB per atom



No. 3
Computed, not measured: HfIn2Au8 after structural relaxation at the GGA-PBE level of DFT.

a = 8.794 Å, b = 13.446 Å, c = 3.928 Å
α = 90.00°, β = 92.70°, γ = 90.00°
Space group C2/m (No. 12)
Unique sites:
Hf1 0.000 0.000 0.000 (multiplicity 2)
In1 0.000 0.370 0.500 (multiplicity 4)
Au1 0.000 0.223 0.000 (multiplicity 4)
Au2 0.166 0.500 0.984 (multiplicity 4)
Au3 0.168 0.116 0.512 (multiplicity 8)

Values from the calculation:
E_form ... -0.14 eV per atom
Electronic total energy ... -3.92 eV per atom
Magnetic moment ... 0.000 μB per atom



No. 4
Computed, not measured: AlSbRh2 after structural relaxation at the GGA-PBE level of DFT.

a = 6.015 Å, b = 6.399 Å, c = 3.291 Å
α = 90.00°, β = 90.00°, γ = 90.00°
Space group Cmmm (No. 65)
Unique sites:
Al1 0.000 0.000 0.000 (multiplicity 2)
Sb1 0.000 0.500 0.000 (multiplicity 2)
Rh1 0.250 0.250 0.500 (multiplicity 4)

Values from the calculation:
Electronic total energy ... -6.14 eV per atom
Raw formation energy ... -47.8 kJ per mole of atoms
Magnetic moment ... 0.000 μB per atom



No. 5
Computed, not measured: NiRuWSe2 after structural relaxation at the GGA-PBE level of DFT.

a = 4.477 Å, b = 4.477 Å, c = 4.552 Å
α = 90.00°, β = 90.00°, γ = 90.00°
Space group P4/mmm (No. 123)
Unique sites:
Ni1 0.000 0.000 0.000 (multiplicity 1)
Ru1 0.500 0.500 0.500 (multiplicity 1)
W1 0.000 0.000 0.500 (multiplicity 1)
Se1 0.000 0.500 0.000 (multiplicity 2)

Values from the calculation:
Electronic total energy ... -5.63 eV per atom
Raw formation energy ... 131.4 kJ per mole of atoms
Magnetic moment ... 0.000 μB per atom



No. 6
Computed, not measured: Cd2CuHg after structural relaxation at the GGA-PBE level of DFT.

a = 3.0376 Å, b = 3.0376 Å, c = 30.8623 Å
α = 90.00°, β = 90.00°, γ = 120.00°
Space group R-3m (No. 166, hexagonal axes)
Unique sites:
Cd1 0.0000 0.0000 0.2381 (multiplicity 6)
Cu1 0.0000 0.0000 0.5000 (multiplicity 3)
Hg1 0.0000 0.0000 0.0000 (multiplicity 3)

Values from the calculation:
E_form ... 0.10 eV per atom
Electronic total energy ... -1.45 eV per atom
Magnetic moment ... 0.000 μB per atom